First-principles (PBE) data for crystalline GdGeAsO at its relaxed geometry, as listed in the Open Quantum Materials Database.

Properties
Relative energy among the computed polymorphs ... 0.000 eV/atom

Cell: 4.083 4.083 9.334 Å, 90.00 90.00 90.00°
Space group P4/nmm (No. 129, origin choice 2)
Inequivalent atoms, fractional coordinates:
1 Gd 0.250 0.250 0.113 [2 per cell]
2 Ge 0.250 0.750 0.500 [2 per cell]
3 As 0.250 0.250 0.702 [2 per cell]
4 O 0.250 0.750 0.000 [2 per cell]

First-principles (PBE) data for crystalline GdGeAsO at its relaxed geometry, as listed in the Open Quantum Materials Database.

Properties
Relative energy among the computed polymorphs ... 0.107 eV/atom

Cell: 3.864 6.206 7.030 Å, 90.00 90.00 90.00°
Space group Pmc2_1 (No. 26)
Inequivalent atoms, fractional coordinates:
1 Gd 0.000 0.243 0.000 [2 per cell]
2 Ge 0.500 0.389 0.610 [2 per cell]
3 As 0.000 0.229 0.426 [2 per cell]
4 O 0.500 0.235 0.843 [2 per cell]

First-principles (PBE) data for crystalline GdGeAsO at its relaxed geometry, as listed in the Open Quantum Materials Database.

Properties
Relative energy among the computed polymorphs ... 0.171 eV/atom

Cell: 4.246 5.762 6.172 Å, 90.00 90.00 90.00°
Space group Pmc2_1 (No. 26)
Inequivalent atoms, fractional coordinates:
1 Gd 0.000 0.239 0.000 [2 per cell]
2 Ge 0.500 0.368 0.375 [2 per cell]
3 As 0.500 0.079 0.697 [2 per cell]
4 O 0.000 0.417 0.324 [2 per cell]

First-principles (PBE) data for crystalline Gd4Hf3As4 at its relaxed geometry, as listed in the Open Quantum Materials Database.

Properties
VASP energy ... -6.746 eV per atom

Cell: 7.515 3.901 8.873 Å, 90.00 99.62 90.00°
Space group Pm (No. 6)
Inequivalent atoms, fractional coordinates:
1 Gd 0.000 0.000 0.000 [1 per cell]
2 Gd 0.048 0.500 0.439 [1 per cell]
3 Gd 0.426 0.000 0.576 [1 per cell]
4 Gd 0.745 0.500 0.132 [1 per cell]
5 Hf 0.309 0.500 0.866 [1 per cell]
6 Hf 0.453 0.000 0.198 [1 per cell]
7 Hf 0.773 0.500 0.738 [1 per cell]
8 As 0.065 0.000 0.692 [1 per cell]
9 As 0.213 0.500 0.161 [1 per cell]
10 As 0.586 0.000 0.902 [1 per cell]
11 As 0.638 0.500 0.426 [1 per cell]

First-principles (PBE) data for crystalline GdHf6As2 at its relaxed geometry, as listed in the Open Quantum Materials Database.

Properties
VASP energy ... -8.386 eV per atom

Cell: 7.5079 7.5079 3.8569 Å, 90.00 90.00 120.00°
Space group P-62m (No. 189)
Inequivalent atoms, fractional coordinates:
1 Gd 0.0000 0.0000 0.0000 [1 per cell]
2 Hf 0.0000 0.2667 0.5000 [3 per cell]
3 Hf 0.0000 0.5816 0.0000 [3 per cell]
4 As 0.3333 0.6667 0.5000 [2 per cell]

First-principles (PBE) data for crystalline GdHgAs at its relaxed geometry, as listed in the Open Quantum Materials Database.

Properties
Relative energy among the computed polymorphs ... 0.156 eV/atom

Cell: 6.854 6.854 6.854 Å, 90.00 90.00 90.00°
Space group F-43m (No. 216)
Inequivalent atoms, fractional coordinates:
1 Gd 0.000 0.000 0.000 [4 per cell]
2 Hg 0.000 0.000 0.500 [4 per cell]
3 As 0.250 0.250 0.250 [4 per cell]

First-principles (PBE) data for crystalline GdHgAs at its relaxed geometry, as listed in the Open Quantum Materials Database.

Properties
Relative energy among the computed polymorphs ... 0.000 eV/atom

Cell: 6.982 6.982 6.982 Å, 90.00 90.00 90.00°
Space group F-43m (No. 216)
Inequivalent atoms, fractional coordinates:
1 Gd 0.000 0.000 0.000 [4 per cell]
2 Hg 0.250 0.250 0.250 [4 per cell]
3 As 0.250 0.250 0.750 [4 per cell]

First-principles (PBE) data for crystalline Gd2HgAs2 at its relaxed geometry, as listed in the Open Quantum Materials Database.

Properties
VASP energy ... -4.656 eV per atom

Cell: 4.126 17.934 6.533 Å, 90.00 90.00 90.00°
Space group Cmc2_1 (No. 36)
Inequivalent atoms, fractional coordinates:
1 Gd 0.000 0.022 0.000 [4 per cell]
2 Gd 0.000 0.199 0.327 [4 per cell]
3 Hg 0.000 0.397 0.197 [4 per cell]
4 As 0.000 0.187 0.863 [4 per cell]
5 As 0.000 0.413 0.772 [4 per cell]

First-principles (PBE) data for crystalline GdHo2As3 at its relaxed geometry, as listed in the Open Quantum Materials Database.

Properties
VASP energy ... -6.159 eV per atom

Cell: 4.1146 4.1146 10.0741 Å, 90.00 90.00 120.00°
Space group P-3m1 (No. 164)
Inequivalent atoms, fractional coordinates:
1 Gd 0.0000 0.0000 0.0000 [1 per cell]
2 Ho 0.3333 0.6667 0.3349 [2 per cell]
3 As 0.0000 0.0000 0.5000 [1 per cell]
4 As 0.3333 0.6667 0.8300 [2 per cell]

First-principles (PBE) data for crystalline GdHoAsI2 at its relaxed geometry, as listed in the Open Quantum Materials Database.

Properties
VASP energy ... -4.869 eV per atom

Cell: 4.1822 4.1822 10.9021 Å, 90.00 90.00 120.00°
Space group P3m1 (No. 156)
Inequivalent atoms, fractional coordinates:
1 Gd 0.0000 0.0000 0.0000 [1 per cell]
2 Ho 0.3333 0.6667 0.2831 [1 per cell]
3 As 0.6667 0.3333 0.1450 [1 per cell]
4 I 0.0000 0.0000 0.4667 [1 per cell]
5 I 0.3333 0.6667 0.8127 [1 per cell]

First-principles (PBE) data for crystalline GdHoAsO at its relaxed geometry, as listed in the Open Quantum Materials Database.

Properties
Relative energy among the computed polymorphs ... 0.072 eV/atom

Cell: 4.341 4.341 8.818 Å, 90.00 90.00 90.00°
Space group P4/nmm (No. 129, origin choice 2)
Inequivalent atoms, fractional coordinates:
1 Gd 0.250 0.250 0.104 [2 per cell]
2 Ho 0.250 0.750 0.500 [2 per cell]
3 As 0.250 0.250 0.703 [2 per cell]
4 O 0.250 0.750 0.000 [2 per cell]

First-principles (PBE) data for crystalline GdHoAsO at its relaxed geometry, as listed in the Open Quantum Materials Database.

Properties
Relative energy among the computed polymorphs ... 0.122 eV/atom

Cell: 4.317 4.317 8.838 Å, 90.00 90.00 90.00°
Space group P4/nmm (No. 129, origin choice 2)
Inequivalent atoms, fractional coordinates:
1 Gd 0.250 0.750 0.000 [2 per cell]
2 Ho 0.250 0.250 0.402 [2 per cell]
3 As 0.250 0.250 0.789 [2 per cell]
4 O 0.250 0.750 0.500 [2 per cell]